(1)
The following is a DFT calculation (PBE) of a geometry-optimized HfInRu3 structure.

Cell and atoms, written as POSCAR:
```
HfInRu3
1.0
4.7810 0.0000 0.0000
0.0000 4.7810 0.0000
0.0000 0.0000 4.7810
Hf In Ru
1 1 3
Cartesian
0.0000 0.0000 0.0000
2.3905 2.3905 2.3905
0.0000 0.0000 2.3905
0.0000 2.3905 0.0000
2.3905 0.0000 0.0000
```

Results
- DFT formation energy: 122.19 kJ per mole of atoms

***

(2)
The following is a DFT calculation (PBE) of a geometry-optimized Hf3InRu structure.

Cell and atoms, written as POSCAR:
```
Hf3InRu
1.0
4.9686 0.0000 0.0000
0.0000 4.9686 0.0000
0.0000 0.0000 4.9686
Hf In Ru
3 1 1
Cartesian
0.0000 0.0000 2.4843
0.0000 2.4843 0.0000
2.4843 0.0000 0.0000
2.4843 2.4843 2.4843
0.0000 0.0000 0.0000
```

Results
- DFT formation energy: 20.73 kJ per mole of atoms

***

(3)
The following is a DFT calculation (PBE) of a geometry-optimized HfInRu3 structure.

Cell and atoms, written as POSCAR:
```
HfInRu3
1.0
4.7317 0.0000 0.0000
0.0000 4.7317 0.0000
0.0000 0.0000 4.7317
Hf In Ru
1 1 3
Cartesian
0.0000 0.0000 0.0000
2.3658 2.3658 2.3658
0.0000 2.3658 2.3658
2.3658 0.0000 2.3658
2.3658 2.3658 0.0000
```

Results
- DFT formation energy: 149.62 kJ per mole of atoms

***

(4)
The following is a DFT calculation (PBE) of a geometry-optimized Hf2In2Ru structure.

Cell and atoms, written as POSCAR:
```
Hf2In2Ru
1.0
7.0930 0.0000 0.0000
0.0000 7.0930 0.0000
0.0000 0.0000 4.0666
Hf In Ru
4 4 2
Cartesian
1.1940 2.3525 0.0000
2.3525 5.8990 0.0000
4.7405 1.1940 0.0000
5.8990 4.7405 0.0000
0.9826 4.5291 2.0333
2.5640 0.9826 2.0333
4.5291 6.1105 2.0333
6.1105 2.5640 2.0333
0.0000 0.0000 2.0333
3.5465 3.5465 2.0333
```

Results
- DFT formation energy: 2.63 kJ per mole of atoms

***

(5)
The following is a DFT calculation (PBE) of a geometry-optimized Hf3InRu4 structure.

Cell and atoms, written as POSCAR:
```
Hf3InRu4
1.0
2.2907 1.3225 7.4436
-2.2907 1.3225 7.4436
0.0000 -2.6451 7.4436
Hf In Ru
3 1 4
Cartesian
0.0000 0.0000 0.0000
0.0000 0.0000 5.5127
0.0000 0.0000 16.8180
0.0000 0.0000 11.1654
0.0000 0.0000 2.7139
0.0000 0.0000 8.3314
0.0000 0.0000 13.9993
0.0000 0.0000 19.6168
```

Results
- DFT formation energy: -63.44 kJ per mole of atoms

***

(6)
The following is a DFT calculation (PBE) of a geometry-optimized Hf6InRu structure.

Cell and atoms, written as POSCAR:
```
Hf6InRu
1.0
4.0584 2.3431 2.9692
-4.0584 2.3431 2.9692
0.0000 -4.6863 2.9692
Hf In Ru
6 1 1
Cartesian
-2.9994 -0.7971 3.9993
-0.8094 -2.9961 4.9082
-2.1900 2.1990 4.9082
2.1900 -2.1990 3.9993
0.8094 2.9961 3.9993
2.9994 0.7971 4.9082
0.0000 0.0000 4.4538
0.0000 0.0000 0.0000
```

Results
- DFT formation energy: -15.51 kJ per mole of atoms

***

(7)
The following is a DFT calculation (PBE) of a geometry-optimized HfInTcRu structure.

Cell and atoms, written as POSCAR:
```
HfInTcRu
1.0
0.0000 3.2476 3.2476
3.2476 0.0000 3.2476
3.2476 3.2476 0.0000
Hf In Tc Ru
1 1 1 1
Cartesian
0.0000 0.0000 0.0000
3.2476 3.2476 3.2476
1.6238 1.6238 1.6238
4.8715 4.8715 4.8715
```

Results
- DFT formation energy: -18.90 kJ per mole of atoms

***

(8)
The following is a DFT calculation (PBE) of a geometry-optimized Hf2InS structure.

Cell and atoms, written as POSCAR:
```
Hf2InS
1.0
-2.7342 2.7342 7.2725
2.7342 -2.7342 7.2725
2.7342 2.7342 -7.2725
Hf In S
4 2 2
Cartesian
4.1013 0.9175 -1.8181
0.9175 1.3671 1.8181
-1.3671 1.8167 5.4544
1.8167 1.3671 9.0907
2.7342 0.0000 3.6363
0.0000 0.0000 7.2725
0.0000 0.0000 0.0000
0.0000 2.7342 3.6363
```

Results
- Formation energy (no corrections): 0.097 eV/atom

***

(9)
The following is a DFT calculation (PBE) of a geometry-optimized HfInS2 structure.

Cell and atoms, written as POSCAR:
```
HfInS2
1.0
4.6934 0.0000 0.0000
0.0000 4.6934 0.0000
0.0000 0.0000 3.3118
Hf In S
1 1 2
Cartesian
0.0000 0.0000 0.0000
2.3467 2.3467 0.0000
0.0000 2.3467 1.6559
2.3467 0.0000 1.6559
```

Results
- Formation energy (no corrections): -0.411 eV/atom

***

(10)
The following is a DFT calculation (PBE) of a geometry-optimized HfIn4S2 structure.

Cell and atoms, written as POSCAR:
```
HfIn4S2
1.0
-2.8845 2.8845 6.9374
2.8845 -2.8845 6.9374
2.8845 2.8845 -6.9374
Hf In S
1 4 2
Cartesian
0.0000 0.0000 0.0000
2.8845 0.0000 0.0000
0.0000 0.0000 2.8690
0.0000 2.8845 0.0000
0.0000 0.0000 11.0058
0.0000 0.0000 5.2729
0.0000 0.0000 8.6019
```

Results
- Formation energy (no corrections): 0.287 eV/atom

***

(11)
The following is a DFT calculation (PBE) of a geometry-optimized HfInS2 structure.

Cell and atoms, written as POSCAR:
```
HfInS2
1.0
-2.4559 4.7185 4.1931
2.4559 -4.7185 4.1931
2.4559 4.7185 -4.1931
Hf In S
2 2 4
Cartesian
1.2280 1.5465 0.0000
1.2280 3.1720 4.1931
1.2280 -0.8336 3.4799
1.2280 5.5521 -0.7132
3.6839 0.9336 0.5372
1.2280 3.2465 1.7780
1.2280 1.4720 5.9711
-1.2280 3.7849 4.7303
```

Results
- Formation energy (no corrections): -0.894 eV/atom

***

(12)
The following is a DFT calculation (PBE) of a geometry-optimized HfIn3S structure.

Cell and atoms, written as POSCAR:
```
HfIn3S
1.0
5.6451 0.0000 0.0000
0.0000 5.6451 0.0000
0.0000 0.0000 5.6451
Hf In S
1 3 1
Cartesian
0.0000 0.0000 0.0000
0.0000 0.0000 2.8225
0.0000 2.8225 0.0000
2.8225 0.0000 0.0000
2.8225 2.8225 2.8225
```

Results
- Formation energy (no corrections): 0.868 eV/atom